# ZrPaTl2O6

A relaxed structure of ZrPaTl2O6 (PBE-GGA, Alexandria via LeMat-Bulk).

* space-group type: No. 12
* energy relative to the elements, uncorrected: -2.409 eV/atom

Cell: 6.081 6.088 6.078 Å, 120.05 120.03 90.00°
Fractional positions:
1 O 0.226 0.726 0.958
2 Pa 0.500 0.000 0.000
3 O 0.226 0.232 0.958
4 Tl 0.753 0.750 0.500
5 Tl 0.247 0.250 0.500
6 O 0.713 0.253 0.507
7 O 0.774 0.768 0.042
8 O 0.287 0.747 0.493
9 Zr 0.000 0.500 0.000
10 O 0.774 0.274 0.042